Record 1
DFT (GGA-PBE) results for crystalline PmYIn2 at its relaxed geometry.

Summary:
- Energy: -18.7 eV per cell
- Space-group type: P4/mmm (123)
- Crystal system: tetragonal

Structure (extended XYZ):
```
4
Lattice="-1.4134 -2.7963 2.1450 2.6534 0.6766 2.6305 -4.6438 4.9614 3.4080" Properties=species:S:1:pos:R:3 pbc="T T T"
In -3.4410 3.6763 2.5253
In -1.2028 1.2851 0.8827
Pm 0.6200 -1.0599 2.3878
Y -1.7019 1.4208 4.0917
```


Record 2
DFT (GGA-PBE) results for crystalline NaTaHgPt at its relaxed geometry.

Summary:
- ΔE to the lowest computed polymorph: 0.000 eV/atom
- Space-group type: F-43m (216)
- Crystal system: cubic

Structure (extended XYZ):
```
4
Lattice="0.0000 3.2756 3.2756 3.2756 0.0000 3.2756 3.2756 3.2756 0.0000" Properties=species:S:1:pos:R:3 pbc="T T T"
Pt 1.6378 1.6378 1.6378
Hg 3.2756 3.2756 3.2756
Ta 0.0000 0.0000 0.0000
Na 4.9134 4.9134 4.9134
```


Record 3
DFT (GGA-PBE) results for crystalline LiSiIr at its relaxed geometry.

Summary:
- Energy: -17.6 eV per cell
- Space-group type: F-43m (216)
- Crystal system: cubic

Structure (extended XYZ):
```
3
Lattice="0.0000 2.7868 2.7868 2.7868 0.0000 2.7868 2.7868 2.7868 0.0000" Properties=species:S:1:pos:R:3 pbc="T T T"
Li 4.1802 4.1802 4.1802
Ir 1.3934 1.3934 1.3934
Si 0.0000 0.0000 0.0000
```


Record 4
DFT (GGA-PBE) results for crystalline SmCl2 at its relaxed geometry.

Summary:
- Energy: -42.5 eV per cell
- Space-group type: C2/m (12)
- Crystal system: monoclinic

Structure (extended XYZ):
```
9
Lattice="6.6600 -1.7351 0.0000 6.6600 1.7351 0.0000 -0.8160 0.0000 10.1138" Properties=species:S:1:pos:R:3 pbc="T T T"
Cl 8.7336 0.0000 1.0508
Cl 4.3824 0.0000 5.6295
Cl 12.0175 0.0000 2.4691
Cl 0.4865 0.0000 7.6446
Cl 3.7704 0.0000 9.0629
Cl 8.1216 0.0000 4.4843
Sm 9.2701 0.0000 7.0087
Sm 3.2340 0.0000 3.1051
Sm 0.0000 0.0000 0.0000
```


Number 2 is which compound? NaTaHgPt